Version P
# DyLu2Sc

A relaxed structure of DyLu2Sc (PBE-GGA, Alexandria via LeMat-Bulk).

Lattice parameters (Å, degrees): 11.314 11.314 11.314 17.50 17.50 17.50
Fractional positions:
Dy (0.000, 0.000, 0.000)
Lu (0.247, 0.247, 0.247)
Lu (0.753, 0.753, 0.753)
Sc (0.500, 0.500, 0.500)

Values from the calculation:
Theoretical density   8.10 g/cm³
Symmetry   R-3m (166)
DOS(E_F)   6.66 states/eV per cell

=====

Version Q
# DyLu2Sc

A relaxed structure of DyLu2Sc (PBE-GGA, Alexandria via LeMat-Bulk).

Lattice parameters (Å, degrees): 5.477 5.477 5.477 60.00 60.00 60.00
Fractional positions:
Dy (0.000, 0.000, 0.000)
Lu (0.250, 0.250, 0.250)
Lu (0.750, 0.750, 0.750)
Sc (0.500, 0.500, 0.500)

Values from the calculation:
Theoretical density   7.97 g/cm³
Symmetry   Fm-3m (225)
DOS(E_F)   10.00 states/eV per cell

=====

Tell me which of them is the most stable. Sure, it is version P.

=====

Version P
# Dy2LuSc

A relaxed structure of Dy2LuSc (PBE-GGA, Alexandria via LeMat-Bulk).

Lattice parameters (Å, degrees): 4.908 4.908 4.831 90.00 90.00 90.00
Fractional positions:
Dy (0.000, 0.500, 0.000)
Dy (0.500, 0.000, 0.000)
Lu (0.000, 0.000, 0.500)
Sc (0.500, 0.500, 0.500)

Values from the calculation:
Theoretical density   7.78 g/cm³
Symmetry   P4/mmm (123)
DOS(E_F)   6.61 states/eV per cell

=====

Version Q
# Dy2LuSc

A relaxed structure of Dy2LuSc (PBE-GGA, Alexandria via LeMat-Bulk).

Lattice parameters (Å, degrees): 5.495 5.495 5.495 60.00 60.00 60.00
Fractional positions:
Dy (0.250, 0.250, 0.250)
Dy (0.750, 0.750, 0.750)
Lu (0.000, 0.000, 0.000)
Sc (0.500, 0.500, 0.500)

Values from the calculation:
Theoretical density   7.71 g/cm³
Symmetry   Fm-3m (225)
DOS(E_F)   6.69 states/eV per cell

=====

Tell me which of them is the most stable. Sure, it is version P.

=====

Version P
# Dy2LuSe

A relaxed structure of Dy2LuSe (PBE-GGA, Alexandria via LeMat-Bulk).

Lattice parameters (Å, degrees): 3.577 3.577 8.441 90.00 90.00 90.00
Fractional positions:
Dy (0.000, 0.000, 0.211)
Dy (0.000, 0.000, 0.789)
Lu (0.500, 0.500, 0.500)
Se (0.500, 0.500, 0.000)

Values from the calculation:
Theoretical density   8.90 g/cm³
Symmetry   P4/mmm (123)
DOS(E_F)   4.18 states/eV per cell

=====

Version Q
# Dy2LuSe

A relaxed structure of Dy2LuSe (PBE-GGA, Alexandria via LeMat-Bulk).

Lattice parameters (Å, degrees): 10.438 10.438 10.438 20.40 20.40 20.40
Fractional positions:
Dy (0.108, 0.108, 0.108)
Dy (0.892, 0.892, 0.892)
Lu (0.000, 0.000, 0.000)
Se (0.500, 0.500, 0.500)

Values from the calculation:
Theoretical density   7.95 g/cm³
Symmetry   R-3m (166)
DOS(E_F)   4.45 states/eV per cell

=====

Tell me which of them is the most stable. Sure, it is version P.